{"formula": "DyHfRuAu", "functional": "GGA-PBE", "state": "relaxed", "density_kg_m3": 13349, "formation_enthalpy_0k_ev_per_atom": -0.485, "spacegroup": "F-43m", "lattice": [[6.825, 0.000, 0.000], [0.000, 6.825, 0.000], [0.000, 0.000, 6.825]], "species": ["Dy", "Dy", "Dy", "Dy", "Hf", "Hf", "Hf", "Hf", "Ru", "Ru", "Ru", "Ru", "Au", "Au", "Au", "Au"], "fractional_positions": [[0.000, 0.000, 0.000], [0.000, 0.500, 0.500], [0.500, 0.000, 0.500], [0.500, 0.500, 0.000], [0.000, 0.000, 0.500], [0.000, 0.500, 0.000], [0.500, 0.000, 0.000], [0.500, 0.500, 0.500], [0.250, 0.250, 0.250], [0.250, 0.750, 0.750], [0.750, 0.250, 0.750], [0.750, 0.750, 0.250], [0.250, 0.250, 0.750], [0.250, 0.750, 0.250], [0.750, 0.250, 0.250], [0.750, 0.750, 0.750]]}

***

{"formula": "DyHfTcAu", "functional": "GGA-PBE", "state": "relaxed", "density_kg_m3": 13290, "formation_enthalpy_0k_ev_per_atom": -0.363, "spacegroup": "F-43m", "lattice": [[6.825, 0.000, 0.000], [0.000, 6.825, 0.000], [0.000, 0.000, 6.825]], "species": ["Dy", "Dy", "Dy", "Dy", "Hf", "Hf", "Hf", "Hf", "Tc", "Tc", "Tc", "Tc", "Au", "Au", "Au", "Au"], "fractional_positions": [[0.000, 0.000, 0.000], [0.000, 0.500, 0.500], [0.500, 0.000, 0.500], [0.500, 0.500, 0.000], [0.000, 0.000, 0.500], [0.000, 0.500, 0.000], [0.500, 0.000, 0.000], [0.500, 0.500, 0.500], [0.250, 0.250, 0.750], [0.250, 0.750, 0.250], [0.750, 0.250, 0.250], [0.750, 0.750, 0.750], [0.250, 0.250, 0.250], [0.250, 0.750, 0.750], [0.750, 0.250, 0.750], [0.750, 0.750, 0.250]]}